[1]
First-principles (GGA-PBE) data for La6Si2TeS3 after structural relaxation, as listed in the Alexandria database.

a = 4.3264 Å, b = 8.6629 Å, c = 9.6270 Å
α = 101.98°, β = 102.99°, γ = 90.00°
Last column: nearest neighbours and their distance in Å.
Element x y z (fractional)
La 0.3261 0.9072 0.6523  3 S 2.97-3.09, 2 Si 3.02, 1 Te 3.19
La 0.6674 0.5832 0.3348  3 Si 3.06, 3 S 3.07-3.08
La 0.6739 0.0928 0.3477  3 S 2.97-3.09, 2 Si 3.02, 1 Te 3.19
La 0.0023 0.2717 0.0045  3 S 2.94-3.07, 1 Si 3.00, 2 Te 3.19
La 0.9977 0.7283 0.9955  3 S 2.94-3.07, 1 Si 3.00, 2 Te 3.19
La 0.3326 0.4168 0.6652  3 Si 3.06, 3 S 3.07-3.08
Si 0.8341 0.6678 0.6682  6 La 3.00-3.06
Si 0.1659 0.3322 0.3318  6 La 3.00-3.06
Te 0.5000 0.0000 0.0000  6 La 3.19
S 0.5000 0.5000 0.0000  6 La 2.94-3.07
S 0.8356 0.1651 0.6713  6 La 2.97-3.09
S 0.1644 0.8349 0.3287  6 La 2.97-3.09

Summary:
* theoretical density: 5.38 g/cm3
* formation energy without anion corrections: -1.57 eV per atom

[2]
First-principles (GGA-PBE) data for Ba3TlCd2O6 after structural relaxation, as listed in the Alexandria database.

a = 6.3392 Å, b = 6.3392 Å, c = 6.9747 Å
α = 90.00°, β = 90.00°, γ = 120.00°
Last column: nearest neighbours and their distance in Å.
Element x y z (fractional)
Ba 0.3333 0.6667 0.6103  3 O 2.82
Ba 0.6667 0.3333 0.3897  3 O 2.82
Ba 0.0000 0.0000 0.0000  6 O 2.80
Tl 0.0000 0.0000 0.5000  6 O 2.28
Cd 0.6667 0.3333 0.8616  3 O 2.17
Cd 0.3333 0.6667 0.1384  3 O 2.17
O 0.6681 0.8340 0.3042  1 Cd 2.17, 1 Tl 2.28
O 0.1660 0.3319 0.3042  1 Cd 2.17, 1 Tl 2.28
O 0.1660 0.8340 0.3042  1 Cd 2.17, 1 Tl 2.28
O 0.8340 0.6681 0.6958  1 Cd 2.17, 1 Tl 2.28
O 0.3319 0.1660 0.6958  1 Cd 2.17, 1 Tl 2.28
O 0.8340 0.1660 0.6958  1 Cd 2.17, 1 Tl 2.28

Summary:
* theoretical density: 6.41 g/cm3
* formation energy without anion corrections: -1.48 eV per atom

Which of these has the lowest formation energy without anion corrections?
La6Si2TeS3

The lowest formation energy without anion corrections belongs to which entry?
La6Si2TeS3

Copy entry 2 word for word.
First-principles (GGA-PBE) data for Ba3TlCd2O6 after structural relaxation, as listed in the Alexandria database.

a = 6.3392 Å, b = 6.3392 Å, c = 6.9747 Å
α = 90.00°, β = 90.00°, γ = 120.00°
Last column: nearest neighbours and their distance in Å.
Element x y z (fractional)
Ba 0.3333 0.6667 0.6103  3 O 2.82
Ba 0.6667 0.3333 0.3897  3 O 2.82
Ba 0.0000 0.0000 0.0000  6 O 2.80
Tl 0.0000 0.0000 0.5000  6 O 2.28
Cd 0.6667 0.3333 0.8616  3 O 2.17
Cd 0.3333 0.6667 0.1384  3 O 2.17
O 0.6681 0.8340 0.3042  1 Cd 2.17, 1 Tl 2.28
O 0.1660 0.3319 0.3042  1 Cd 2.17, 1 Tl 2.28
O 0.1660 0.8340 0.3042  1 Cd 2.17, 1 Tl 2.28
O 0.8340 0.6681 0.6958  1 Cd 2.17, 1 Tl 2.28
O 0.3319 0.1660 0.6958  1 Cd 2.17, 1 Tl 2.28
O 0.8340 0.1660 0.6958  1 Cd 2.17, 1 Tl 2.28

Summary:
* theoretical density: 6.41 g/cm3
* formation energy without anion corrections: -1.48 eV per atom

What is the formula in the second record?
Ba3TlCd2O6